Entry 1:
An optimized crystal structure of RbV2Ru, computed with GGA-PBE.

Structure (extended XYZ):
```
8
Lattice="-2.9159 2.9159 7.4841 2.9159 -2.9159 7.4841 2.9159 2.9159 -7.4841" Properties=species:S:1:pos:R:3 pbc="T T T"
Rb 2.9159 1.4580 1.8710
Rb 0.0000 1.4580 5.6130
V 0.0000 0.0000 0.0000
V 1.4580 1.4580 -3.7420
V 1.4580 -1.4580 3.7420
V 0.0000 2.9159 0.0000
Ru 2.9159 -1.4580 5.6130
Ru 0.0000 4.3739 1.8710
```

Summary:
As for the space group: No. 141. The relative energy among the computed polymorphs is 0 meV/atom. The calculation puts the formation energy at 1.334 eV per atom.

---

Entry 2:
An optimized crystal structure of Tm6Nb4Al43, computed with GGA-PBE.

Structure (extended XYZ):
```
106
Lattice="11.1020 0.0000 0.0000 -5.5510 9.6146 0.0000 0.0000 0.0000 17.7062" Properties=species:S:1:pos:R:3 pbc="T T T"
Tm -2.6087 4.5183 1.7047
Tm -2.6087 4.5183 7.1484
Tm -2.9423 5.0962 10.5578
Tm -2.9423 5.0962 16.0016
Tm 5.2173 0.0000 1.7047
Tm 5.2173 0.0000 7.1484
Tm 2.6087 4.5183 10.5578
Tm 2.6087 4.5183 16.0016
Tm 5.8846 0.0000 10.5578
Tm 5.8846 0.0000 16.0016
Tm 2.9423 5.0962 1.7047
Tm 2.9423 5.0962 7.1484
Nb 0.0000 0.0000 0.0000
Nb 0.0000 0.0000 8.8531
Nb -1.5207 2.6339 4.4266
Nb -4.0303 6.9807 13.2797
Nb 3.0414 0.0000 4.4266
Nb 1.5207 2.6339 13.2797
Nb 8.0606 0.0000 13.2797
Nb 4.0303 6.9807 4.4266
Al -0.8248 1.4286 13.2797
Al -0.8828 1.5291 2.0385
Al -0.8828 1.5291 6.8146
Al -1.4260 2.4700 9.3690
Al -1.4260 2.4700 17.1903
Al -4.1249 7.1446 0.5159
Al -4.1249 7.1446 8.3372
Al -4.6682 8.0855 10.8916
Al -4.6682 8.0855 15.6677
Al -4.7262 8.1860 4.4266
Al 1.6496 0.0000 13.2797
Al 0.8248 1.4286 4.4266
Al -1.4223 5.3389 4.4266
Al -1.6385 5.7134 13.2797
Al -0.4378 3.8021 11.7245
Al -0.4378 3.8021 14.8349
Al -2.4772 7.3344 2.8714
Al -2.4772 7.3344 5.9817
Al 1.7656 0.0000 2.0385
Al 1.7656 0.0000 6.8146
Al 0.8828 1.5291 10.8916
Al 0.8828 1.5291 15.6677
Al 0.4378 3.8021 2.8714
Al 0.4378 3.8021 5.9817
Al -2.0394 8.0927 11.7245
Al -2.0394 8.0927 14.8349
Al 0.0000 4.7476 0.0000
Al 0.0000 4.7476 8.8531
Al -1.4394 7.2408 0.0000
Al -1.4394 7.2408 8.8531
Al 2.8521 0.0000 9.3690
Al 2.8521 0.0000 17.1903
Al 1.4260 2.4700 0.5159
Al 1.4260 2.4700 8.3372
Al 0.0000 6.4097 2.2085
Al 0.0000 6.4097 6.6446
Al 0.0000 6.4097 11.0616
Al 0.0000 6.4097 15.4977
Al 3.5116 1.5219 11.7245
Al 3.5116 1.5219 14.8349
Al 3.0738 2.2802 2.8714
Al 3.0738 2.2802 5.9817
Al 1.4223 5.3389 13.2797
Al -0.2162 8.1769 4.4266
Al 1.6385 5.7134 4.4266
Al 0.2162 8.1769 13.2797
Al 4.1116 2.3738 0.0000
Al 4.1116 2.3738 8.8531
Al 1.4394 7.2408 0.0000
Al 1.4394 7.2408 8.8531
Al 5.3348 1.4377 4.4266
Al 3.9124 3.9012 13.2797
Al 5.7672 1.4377 13.2797
Al 4.1287 4.2757 4.4266
Al 2.4772 7.3344 11.7245
Al 2.4772 7.3344 14.8349
Al 2.0394 8.0927 2.8714
Al 2.0394 8.0927 5.9817
Al 5.5510 3.2049 2.2085
Al 5.5510 3.2049 6.6446
Al 5.5510 3.2049 11.0616
Al 5.5510 3.2049 15.4977
Al 8.2499 0.0000 0.5159
Al 8.2499 0.0000 8.3372
Al 4.1249 7.1446 9.3690
Al 4.1249 7.1446 17.1903
Al 6.9904 2.3738 0.0000
Al 6.9904 2.3738 8.8531
Al 5.5510 4.8669 0.0000
Al 5.5510 4.8669 8.8531
Al 7.5903 1.5219 2.8714
Al 7.5903 1.5219 5.9817
Al 5.1132 5.8125 11.7245
Al 5.1132 5.8125 14.8349
Al 9.3364 0.0000 10.8916
Al 9.3364 0.0000 15.6677
Al 4.6682 8.0855 2.0385
Al 4.6682 8.0855 6.8146
Al 8.0281 2.2802 11.7245
Al 8.0281 2.2802 14.8349
Al 5.9888 5.8125 2.8714
Al 5.9888 5.8125 5.9817
Al 7.1895 3.9012 4.4266
Al 6.9733 4.2757 13.2797
Al 9.4524 0.0000 4.4266
Al 4.7262 8.1860 13.2797
```

Summary:
As for the space group: No. 193. The calculation puts the formation energy at -0.327 eV per atom.

---

Entry 3:
An optimized crystal structure of Sr2CaMnRe, computed with GGA-PBE.

Structure (extended XYZ):
```
5
Lattice="5.9396 0.0000 0.0000 0.0000 5.9396 0.0000 0.0000 0.0000 4.5145" Properties=species:S:1:pos:R:3 pbc="T T T"
Sr 0.0000 2.9698 0.0000
Sr 2.9698 0.0000 0.0000
Ca 0.0000 0.0000 2.2572
Mn 2.9698 2.9698 0.0000
Re 2.9698 2.9698 2.2572
```

Summary:
As for the space group: No. 123. The calculation puts the formation energy at 0.799 eV per atom.

---

Entry 4:
An optimized crystal structure of Li5Bi2Pd12, computed with GGA-PBE.

Structure (extended XYZ):
```
19
Lattice="6.4687 -4.1359 0.0000 6.4687 4.1359 0.0000 -0.5249 0.0000 5.7741" Properties=species:S:1:pos:R:3 pbc="T T T"
Li 0.0000 0.0000 0.0000
Li 2.5779 0.0000 5.7233
Li 4.0931 0.0000 3.4552
Li 8.3193 0.0000 2.3189
Li 9.8346 0.0000 0.0508
Bi 6.2062 2.2897 2.8870
Bi 6.2062 -2.2897 2.8870
Pd 3.7119 2.0001 1.7068
Pd 1.7714 0.0000 2.2487
Pd 4.6835 1.9305 5.2036
Pd 7.7290 1.9305 0.5704
Pd 5.7442 0.0000 1.2694
Pd 8.7006 2.0001 4.0673
Pd 3.7119 -2.0001 1.7068
Pd 6.6682 0.0000 4.5047
Pd 4.6835 -1.9305 5.2036
Pd 7.7290 -1.9305 0.5704
Pd 10.6410 0.0000 3.5254
Pd 8.7006 -2.0001 4.0673
```

Summary:
As for the space group: No. 12. The calculation puts the formation energy at -0.331 eV per atom.

---

Entry 5:
An optimized crystal structure of ZrOs2Br, computed with GGA-PBE.

Structure (extended XYZ):
```
4
Lattice="3.2892 0.0000 0.0000 0.0000 3.2892 0.0000 0.0000 0.0000 6.5951" Properties=species:S:1:pos:R:3 pbc="T T T"
Zr 0.0000 0.0000 0.0000
Os 1.6446 1.6446 1.5284
Os 1.6446 1.6446 5.0668
Br 0.0000 0.0000 3.2976
```

Summary:
As for the space group: No. 123. The relative energy among the computed polymorphs is 521 meV/atom.

---

Entry 6:
An optimized crystal structure of TbPr2Cu, computed with GGA-PBE.

Structure (extended XYZ):
```
4
Lattice="1.7811 1.0283 11.1102 -1.7811 1.0283 11.1102 0.0000 -2.0567 11.1102" Properties=species:S:1:pos:R:3 pbc="T T T"
Tb 0.0000 0.0000 0.0000
Pr 0.0000 0.0000 3.4154
Pr 0.0000 0.0000 29.9151
Cu 0.0000 0.0000 16.6653
```

Summary:
As for the space group: No. 166. The relative energy among the computed polymorphs is 298 meV/atom. The calculation puts the formation energy at 0.268 eV per atom.